No. 1
A geometry-optimized BePtSe2 structure, computed with PBEsol.

Formation energy from raw total energies, eV/atom: -0.29
Density of states at the Fermi level, states/eV/cell: 0.13
Calculated volume, A^3/atom: 20.6

a b c (Å): 8.2418 3.5024 5.8026
angles (deg): 90.00 99.55 90.00
Space group Cm (No. 8)
Inequivalent atoms, fractional coordinates:
Be 0.0000 0.0000 0.0000 [2 per cell]
Pt 0.2729 0.0000 0.0220 [2 per cell]
Se 0.0996 0.5000 0.7770 [2 per cell]
Se 0.3839 0.5000 0.3015 [2 per cell]

No. 2
A geometry-optimized BePt2Se2 structure, computed with PBEsol.

Formation energy from raw total energies, eV/atom: -0.03
Density of states at the Fermi level, states/eV/cell: 3.70
Calculated volume, A^3/atom: 16.7

a b c (Å): 5.8212 5.8212 4.9229
angles (deg): 90.00 90.00 90.00
Space group P4/mbm (No. 127)
Inequivalent atoms, fractional coordinates:
Be 0.0000 0.0000 0.0000 [2 per cell]
Pt 0.1621 0.3379 0.0000 [4 per cell]
Se 0.2249 0.2751 0.5000 [4 per cell]